Version one
# NaCd3In (GGA-PBE, optimized geometry)
data_NaCd3In
_symmetry_space_group_name_H-M 'P 1 21/c 1'
_symmetry_Int_Tables_number 14
_cell_length_a 8.117
_cell_length_b 7.449
_cell_length_c 8.701
_cell_angle_alpha 90.00
_cell_angle_beta 108.69
_cell_angle_gamma 90.00
loop_
_symmetry_equiv_pos_as_xyz
'x,y,z'
'-x,-y,-z'
'-x,y+1/2,-z+1/2'
'x,-y+1/2,z+1/2'
loop_
_atom_site_label
_atom_site_fract_x
_atom_site_fract_y
_atom_site_fract_z
Na1 0.248 0.019 0.250
Cd1 0.051 0.697 0.983
Cd2 0.149 0.072 0.867
Cd3 0.343 0.080 0.633
In1 0.443 0.702 0.520
# Spin magnetization = 0.000 μB per atom
# Density of states at the Fermi level = 0.261 states/eV/atom

=====

Version two
# NaCd3In (GGA-PBE, optimized geometry)
data_NaCd3In
_symmetry_space_group_name_H-M 'P m -3 m'
_symmetry_Int_Tables_number 221
_symmetry_space_group_name_Hall '-P 4 2 3'
_cell_length_a 5.484
_cell_length_b 5.484
_cell_length_c 5.484
_cell_angle_alpha 90.00
_cell_angle_beta 90.00
_cell_angle_gamma 90.00
loop_
_atom_site_label
_atom_site_fract_x
_atom_site_fract_y
_atom_site_fract_z
Na1 0.000 0.000 0.000
Cd1 0.000 0.000 0.500
In1 0.500 0.500 0.500
# Spin magnetization = 0.000 μB per atom
# Density of states at the Fermi level = 0.671 states/eV/atom

=====

Verdict on stability: version two comes out at the bottom.

=====

Version one
# Na2CdIn3 (GGA-PBE, optimized geometry)
data_Na2CdIn3
_symmetry_space_group_name_H-M 'P m m a'
_symmetry_Int_Tables_number 51
_cell_length_a 5.984
_cell_length_b 6.331
_cell_length_c 8.714
_cell_angle_alpha 90.00
_cell_angle_beta 90.00
_cell_angle_gamma 90.00
loop_
_symmetry_equiv_pos_as_xyz
'x,y,z'
'-x,-y,-z'
'-x+1/2,-y,z'
'x+1/2,y,-z'
'x+1/2,-y,-z'
'-x+1/2,y,z'
'-x,y,-z'
'x,-y,z'
loop_
_atom_site_label
_atom_site_fract_x
_atom_site_fract_y
_atom_site_fract_z
Na1 0.250 0.000 0.083
Na2 0.250 0.500 0.364
Cd1 0.250 0.000 0.432
In1 0.000 0.500 0.000
In2 0.250 0.248 0.731
# Spin magnetization = 0.000 μB per atom
# Density of states at the Fermi level = 0.496 states/eV/atom

=====

Version two
# Na2CdIn3 (GGA-PBE, optimized geometry)
data_Na2CdIn3
_symmetry_space_group_name_H-M 'P m m 2'
_symmetry_Int_Tables_number 25
_cell_length_a 3.466
_cell_length_b 5.163
_cell_length_c 8.801
_cell_angle_alpha 90.00
_cell_angle_beta 90.00
_cell_angle_gamma 90.00
loop_
_symmetry_equiv_pos_as_xyz
'x,y,z'
'-x,-y,z'
'-x,y,z'
'x,-y,z'
loop_
_atom_site_label
_atom_site_fract_x
_atom_site_fract_y
_atom_site_fract_z
Na1 0.000 0.000 0.000
Na2 0.000 0.500 0.494
Cd1 0.500 0.000 0.328
In1 0.500 0.000 0.661
In2 0.500 0.500 0.166
In3 0.500 0.500 0.831
# Spin magnetization = 0.000 μB per atom
# Density of states at the Fermi level = 0.501 states/eV/atom

=====

Verdict on stability: version one comes out at the bottom.

=====

Version one
# NaCd8In4 (GGA-PBE, optimized geometry)
data_NaCd8In4
_symmetry_space_group_name_H-M 'C 1 m 1'
_symmetry_Int_Tables_number 8
_cell_length_a 10.240
_cell_length_b 4.987
_cell_length_c 13.672
_cell_angle_alpha 90.00
_cell_angle_beta 106.32
_cell_angle_gamma 90.00
loop_
_symmetry_equiv_pos_as_xyz
'x,y,z'
'x,-y,z'
'x+1/2,y+1/2,z'
'x+1/2,-y+1/2,z'
loop_
_atom_site_label
_atom_site_fract_x
_atom_site_fract_y
_atom_site_fract_z
Na1 0.000 0.000 0.000
Cd1 0.036 0.500 0.162
Cd2 0.086 0.000 0.455
Cd3 0.087 0.000 0.689
Cd4 0.167 0.500 0.997
Cd5 0.236 0.500 0.800
Cd6 0.237 0.500 0.369
Cd7 0.415 0.000 0.339
Cd8 0.433 0.000 0.784
In1 0.254 0.500 0.590
In2 0.296 0.000 0.952
In3 0.379 0.500 0.202
In4 0.427 0.000 0.558
# Spin magnetization = 0.000 μB per atom
# Density of states at the Fermi level = 0.248 states/eV/atom

=====

Version two
# NaCd8In4 (GGA-PBE, optimized geometry)
data_NaCd8In4
_symmetry_space_group_name_H-M 'R -3 m'
_symmetry_Int_Tables_number 166
_symmetry_space_group_name_Hall '-R 3 2"'
_cell_length_a 7.2097
_cell_length_b 7.2097
_cell_length_c 23.0175
_cell_angle_alpha 90.00
_cell_angle_beta 90.00
_cell_angle_gamma 120.00
loop_
_atom_site_label
_atom_site_fract_x
_atom_site_fract_y
_atom_site_fract_z
Na1 0.0000 0.0000 0.0000
Cd1 0.0000 0.0000 0.2260
Cd2 0.0585 0.5292 0.7740
In1 0.0000 0.0000 0.5000
In2 0.0000 0.5000 0.0000
# Spin magnetization = 0.000 μB per atom
# Density of states at the Fermi level = 0.427 states/eV/atom

=====

Verdict on stability: version two comes out at the bottom.

=====

Version one
# NaCd2In5 (GGA-PBE, optimized geometry)
data_NaCd2In5
_symmetry_space_group_name_H-M 'I m m m'
_symmetry_Int_Tables_number 71
_symmetry_space_group_name_Hall '-I 2 2'
_cell_length_a 4.484
_cell_length_b 8.916
_cell_length_c 11.159
_cell_angle_alpha 90.00
_cell_angle_beta 90.00
_cell_angle_gamma 90.00
loop_
_atom_site_label
_atom_site_fract_x
_atom_site_fract_y
_atom_site_fract_z
Na1 0.000 0.000 0.000
Cd1 0.000 0.500 0.276
In1 0.000 0.191 0.358
In2 0.000 0.500 0.000
# Spin magnetization = 0.000 μB per atom
# Density of states at the Fermi level = 0.430 states/eV/atom

=====

Version two
# NaCd2In5 (GGA-PBE, optimized geometry)
data_NaCd2In5
_symmetry_space_group_name_H-M 'I 4/m c m'
_symmetry_Int_Tables_number 140
_symmetry_space_group_name_Hall '-I 4 2c'
_cell_length_a 7.930
_cell_length_b 7.930
_cell_length_c 13.576
_cell_angle_alpha 90.00
_cell_angle_beta 90.00
_cell_angle_gamma 90.00
loop_
_atom_site_label
_atom_site_fract_x
_atom_site_fract_y
_atom_site_fract_z
Na1 0.000 0.000 0.250
Cd1 0.139 0.361 0.000
In1 0.000 0.000 0.000
In2 0.154 0.346 0.341
# Spin magnetization = 0.000 μB per atom
# Density of states at the Fermi level = 0.327 states/eV/atom

=====

Verdict on stability: version two comes out at the bottom.

=====

Version one
# Na8Cd6In (GGA-PBE, optimized geometry)
data_Na8Cd6In
_symmetry_space_group_name_H-M 'R -3'
_symmetry_Int_Tables_number 148
_symmetry_space_group_name_Hall '-R 3'
_cell_length_a 9.4516
_cell_length_b 9.4516
_cell_length_c 16.6177
_cell_angle_alpha 90.00
_cell_angle_beta 90.00
_cell_angle_gamma 120.00
loop_
_atom_site_label
_atom_site_fract_x
_atom_site_fract_y
_atom_site_fract_z
Na1 0.0000 0.0000 0.1171
Na2 0.0880 0.5469 0.3352
Cd1 0.0000 0.3343 0.1664
In1 0.0000 0.0000 0.5000
# Spin magnetization = 0.000 μB per atom
# Density of states at the Fermi level = 0.583 states/eV/atom

=====

Version two
# Na8Cd6In (GGA-PBE, optimized geometry)
data_Na8Cd6In
_symmetry_space_group_name_H-M 'R -3'
_symmetry_Int_Tables_number 148
_symmetry_space_group_name_Hall '-R 3'
_cell_length_a 8.9034
_cell_length_b 8.9034
_cell_length_c 19.7549
_cell_angle_alpha 90.00
_cell_angle_beta 90.00
_cell_angle_gamma 120.00
loop_
_atom_site_label
_atom_site_fract_x
_atom_site_fract_y
_atom_site_fract_z
Na1 0.0000 0.0000 0.1640
Na2 0.0013 0.6635 0.3800
Cd1 0.0014 0.3294 0.4541
In1 0.0000 0.0000 0.5000
# Spin magnetization = 0.000 μB per atom
# Density of states at the Fermi level = 0.495 states/eV/atom

=====

Verdict on stability: version two comes out at the bottom.

=====

Version one
# Na2Cd6In (GGA-PBE, optimized geometry)
data_Na2Cd6In
_symmetry_space_group_name_H-M 'C 1 2/m 1'
_symmetry_Int_Tables_number 12
_cell_length_a 10.894
_cell_length_b 6.283
_cell_length_c 6.789
_cell_angle_alpha 90.00
_cell_angle_beta 90.07
_cell_angle_gamma 90.00
loop_
_symmetry_equiv_pos_as_xyz
'x,y,z'
'-x,-y,-z'
'-x,y,-z'
'x,-y,z'
'x+1/2,y+1/2,z'
'-x+1/2,-y+1/2,-z'
'-x+1/2,y+1/2,-z'
'x+1/2,-y+1/2,z'
loop_
_atom_site_label
_atom_site_fract_x
_atom_site_fract_y
_atom_site_fract_z
Na1 0.167 0.000 0.125
Cd1 0.088 0.235 0.667
Cd2 0.177 0.500 0.333
In1 0.000 0.500 0.000
# Spin magnetization = 0.000 μB per atom
# Density of states at the Fermi level = 0.358 states/eV/atom

=====

Version two
# Na2Cd6In (GGA-PBE, optimized geometry)
data_Na2Cd6In
_symmetry_space_group_name_H-M 'P 6/m m m'
_symmetry_Int_Tables_number 191
_symmetry_space_group_name_Hall '-P 6 2'
_cell_length_a 9.0218
_cell_length_b 9.0218
_cell_length_c 3.2039
_cell_angle_alpha 90.00
_cell_angle_beta 90.00
_cell_angle_gamma 120.00
loop_
_atom_site_label
_atom_site_fract_x
_atom_site_fract_y
_atom_site_fract_z
Na1 0.3333 0.6667 0.0000
Cd1 0.0000 0.3322 0.5000
In1 0.0000 0.0000 0.0000
# Spin magnetization = 0.000 μB per atom
# Density of states at the Fermi level = 0.389 states/eV/atom

=====

Verdict on stability: version two comes out at the bottom.

=====

Version one
# NaCdIn4 (GGA-PBE, optimized geometry)
data_NaCdIn4
_symmetry_space_group_name_H-M 'F -4 3 m'
_symmetry_Int_Tables_number 216
_symmetry_space_group_name_Hall 'F -4 2 3'
_cell_length_a 8.777
_cell_length_b 8.777
_cell_length_c 8.777
_cell_angle_alpha 90.00
_cell_angle_beta 90.00
_cell_angle_gamma 90.00
loop_
_atom_site_label
_atom_site_fract_x
_atom_site_fract_y
_atom_site_fract_z
Na1 0.000 0.000 0.000
Cd1 0.250 0.250 0.750
In1 0.125 0.125 0.375
# Spin magnetization = 0.000 μB per atom
# Density of states at the Fermi level = 0.168 states/eV/atom

=====

Version two
# NaCdIn4 (GGA-PBE, optimized geometry)
data_NaCdIn4
_symmetry_space_group_name_H-M 'C m c m'
_symmetry_Int_Tables_number 63
_symmetry_space_group_name_Hall '-C 2c 2'
_cell_length_a 3.277
_cell_length_b 19.233
_cell_length_c 10.004
_cell_angle_alpha 90.00
_cell_angle_beta 90.00
_cell_angle_gamma 90.00
loop_
_atom_site_label
_atom_site_fract_x
_atom_site_fract_y
_atom_site_fract_z
Na1 0.000 0.078 0.250
Cd1 0.000 0.252 0.250
In1 0.000 0.096 0.750
In2 0.000 0.329 0.520
In3 0.000 0.500 0.000
# Spin magnetization = 0.000 μB per atom
# Density of states at the Fermi level = 0.431 states/eV/atom

=====

Verdict on stability: version one comes out at the bottom.

=====

Version one
# Na3CdIn2 (GGA-PBE, optimized geometry)
data_Na3CdIn2
_symmetry_space_group_name_H-M 'P 1 21/m 1'
_symmetry_Int_Tables_number 11
_cell_length_a 6.488
_cell_length_b 5.220
_cell_length_c 9.713
_cell_angle_alpha 90.00
_cell_angle_beta 92.92
_cell_angle_gamma 90.00
loop_
_symmetry_equiv_pos_as_xyz
'x,y,z'
'-x,-y,-z'
'-x,y+1/2,-z'
'x,-y+1/2,z'
loop_
_atom_site_label
_atom_site_fract_x
_atom_site_fract_y
_atom_site_fract_z
Na1 0.078 0.250 0.368
Na2 0.284 0.750 0.216
Na3 0.378 0.750 0.882
Cd1 0.236 0.250 0.688
In1 0.125 0.250 0.989
In2 0.401 0.750 0.551
# Spin magnetization = 0.000 μB per atom
# Density of states at the Fermi level = 0.327 states/eV/atom

=====

Version two
# Na3CdIn2 (GGA-PBE, optimized geometry)
data_Na3CdIn2
_symmetry_space_group_name_H-M 'C m c m'
_symmetry_Int_Tables_number 63
_symmetry_space_group_name_Hall '-C 2c 2'
_cell_length_a 10.281
_cell_length_b 10.958
_cell_length_c 6.321
_cell_angle_alpha 90.00
_cell_angle_beta 90.00
_cell_angle_gamma 90.00
loop_
_atom_site_label
_atom_site_fract_x
_atom_site_fract_y
_atom_site_fract_z
Na1 0.000 0.106 0.250
Na2 0.168 0.249 0.750
Cd1 0.000 0.421 0.250
In1 0.240 0.500 0.000
# Spin magnetization = 0.000 μB per atom
# Density of states at the Fermi level = 0.403 states/eV/atom

=====

Verdict on stability: version two comes out at the bottom.